Material: Na9CdIn4
Method: DFT, GGA-PBE
State: optimized geometry

a b c (Å): 10.008 10.017 10.017
angles (deg): 120.00 90.00 90.00
Element x y z (fractional)
In1 0.250 0.111 0.889
In2 0.750 0.889 0.111
In3 0.250 0.778 0.889
In4 0.500 0.000 0.000
In5 0.250 0.111 0.222
In6 0.750 0.889 0.778
In7 0.750 0.222 0.111
In8 0.000 0.000 0.000
Na1 0.750 0.536 0.464
Na2 0.250 0.464 0.928
Na3 0.750 0.928 0.464
Na4 0.054 0.806 0.613
Na5 0.054 0.806 0.194
Na6 0.554 0.194 0.806
Na7 0.554 0.613 0.806
Na8 0.446 0.806 0.194
Na9 0.946 0.613 0.806
Na10 0.750 0.536 0.072
Na11 0.250 0.464 0.536
Na12 0.054 0.387 0.194
Na13 0.250 0.072 0.536
Na14 0.946 0.194 0.387
Na15 0.446 0.806 0.613
Na16 0.946 0.194 0.806
Na17 0.554 0.194 0.387
Na18 0.446 0.387 0.194
Cd1 0.750 0.333 0.667
Cd2 0.250 0.667 0.333

Summary:
VASP energy, eV per atom: -1.78
DFT formation energy, eV per formula unit: -1.13

---

Material: NdTm5Sb6
Method: DFT, GGA-PBE
State: optimized geometry

a b c (Å): 7.570 7.570 7.571
angles (deg): 60.01 80.39 70.48
Element x y z (fractional)
Tm1 0.500 0.837 0.327
Tm2 0.000 0.332 0.336
Tm3 0.500 0.163 0.673
Tm4 0.500 0.500 0.000
Tm5 0.000 0.668 0.664
Sb1 0.252 0.257 0.000
Sb2 0.748 0.743 0.000
Sb3 0.255 0.574 0.340
Sb4 0.745 0.426 0.660
Sb5 0.255 0.915 0.660
Sb6 0.745 0.085 0.340
Nd1 0.000 0.000 0.000

Summary:
VASP energy, eV per atom: -5.40
Formation energy from raw total energies, eV/atom: -1.08

---

Material: Zr3HgN
Method: DFT, GGA-PBE
State: optimized geometry

a b c (Å): 5.885 5.885 5.885
angles (deg): 87.56 87.56 87.56
Element x y z (fractional)
Zr1 0.499 0.250 0.001
Zr2 0.999 0.501 0.750
Zr3 0.501 0.750 0.999
Zr4 0.001 0.499 0.250
Zr5 0.250 0.001 0.499
Zr6 0.750 0.999 0.501
Hg1 0.000 0.000 0.000
Hg2 0.500 0.500 0.500
N1 0.750 0.750 0.750
N2 0.250 0.250 0.250

Summary:
VASP energy, eV per atom: -7.16
Formation energy from raw total energies, eV/atom: -0.31

---

Material: KBF3
Method: DFT, GGA-PBE
State: optimized geometry

a b c (Å): 7.257 7.257 7.273
angles (deg): 96.49 96.49 119.90
Element x y z (fractional)
F1 0.553 0.845 0.472
F2 0.447 0.155 0.528
F3 0.886 0.521 0.661
F4 0.710 0.725 0.271
F5 0.479 0.114 0.839
F6 0.290 0.275 0.729
F7 0.155 0.447 0.028
F8 0.725 0.710 0.771
F9 0.845 0.553 0.972
F10 0.114 0.479 0.339
F11 0.275 0.290 0.229
F12 0.521 0.886 0.161
K1 0.325 0.675 0.750
K2 0.124 0.876 0.250
K3 0.876 0.124 0.750
K4 0.675 0.325 0.250
B1 0.732 0.516 0.781
B2 0.484 0.268 0.719
B3 0.516 0.732 0.281
B4 0.268 0.484 0.219

Summary:
VASP energy, eV per atom: -5.35
E above lowest polymorph, eV per formula unit: 0.00
Formation energy from raw total energies, eV/atom: -2.68

---

Material: TiCoSb2
Method: DFT, GGA-PBE
State: optimized geometry

a b c (Å): 7.139 7.139 5.949
angles (deg): 53.13 53.13 90.00
Element x y z (fractional)
Sb1 0.875 0.916 0.750
Sb2 0.375 0.334 0.750
Sb3 0.084 0.625 0.250
Sb4 0.666 0.125 0.250
Co1 0.750 0.250 0.500
Co2 0.000 0.000 0.000
Ti1 0.500 0.500 0.000
Ti2 0.250 0.750 0.500

Summary:
VASP energy, eV per atom: -5.67
Formation energy from raw total energies, eV/atom: 0.14

---

Material: Cd5Hg2Au2
Method: DFT, GGA-PBE
State: optimized geometry

a b c (Å): 7.665 7.541 8.108
angles (deg): 117.71 90.00 90.00
Element x y z (fractional)
Au1 0.635 0.865 0.000
Au2 0.365 0.135 0.000
Au3 0.865 0.365 0.000
Au4 0.135 0.635 0.000
Cd1 0.833 0.536 0.742
Cd2 0.667 0.036 0.742
Cd3 0.000 0.000 0.000
Cd4 0.167 0.464 0.258
Cd5 0.333 0.707 0.742
Cd6 0.333 0.964 0.258
Cd7 0.167 0.207 0.742
Cd8 0.667 0.293 0.258
Cd9 0.500 0.500 0.000
Cd10 0.833 0.793 0.258
Hg1 0.500 0.710 0.420
Hg2 0.000 0.790 0.580
Hg3 0.000 0.210 0.420
Hg4 0.500 0.290 0.580

Summary:
VASP energy, eV per atom: -1.36
DFT formation energy, eV per formula unit: -0.49